(1)
Li2SbF after structural relaxation, computed with GGA-PBE.

a = 4.692 Å, b = 4.692 Å, c = 4.692 Å
α = 60.00°, β = 60.00°, γ = 60.00°
Atoms (fractional coordinates):
Li: 0.250 0.250 0.250
Li: 0.750 0.750 0.750
Sb: 0.000 0.000 0.000
F: 0.500 0.500 0.500

Results
Space-group type: Fm-3m (225)
Calculated total energy in eV/f.u.: -12.71
Formation energy without anion corrections in eV/atom: -0.7233



(2)
LiHgH2 after structural relaxation, computed with GGA-PBE.

a = 6.312 Å, b = 6.312 Å, c = 6.312 Å
α = 140.32°, β = 140.32°, γ = 57.36°
Atoms (fractional coordinates):
Li: 0.000 0.000 0.000
Li: 0.750 0.250 0.500
Hg: 0.250 0.750 0.500
Hg: 0.500 0.500 0.000
H: 0.133 0.625 0.008
H: 0.375 0.383 0.508
H: 0.617 0.125 0.992
H: 0.875 0.867 0.492

Results
Space-group type: I-42d (122)
Calculated total energy in eV/f.u.: -8.45



(3)
Rb2MgNi2 after structural relaxation, computed with GGA-PBE.

a = 9.644 Å, b = 9.644 Å, c = 3.042 Å
α = 90.00°, β = 90.00°, γ = 90.00°
Atoms (fractional coordinates):
Rb: 0.128 0.372 0.000
Rb: 0.372 0.872 0.000
Rb: 0.628 0.128 0.000
Rb: 0.872 0.628 0.000
Mg: 0.000 0.000 0.000
Mg: 0.500 0.500 0.000
Ni: 0.176 0.676 0.500
Ni: 0.324 0.176 0.500
Ni: 0.676 0.824 0.500
Ni: 0.824 0.324 0.500

Results
Space-group type: P4/mbm (127)
Calculated total energy in eV/f.u.: -9.99



(4)
Na3Tm2MnS6 after structural relaxation, computed with GGA-PBE.

a = 6.656 Å, b = 6.656 Å, c = 7.006 Å
α = 98.81°, β = 98.81°, γ = 120.61°
Atoms (fractional coordinates):
Na: 0.000 0.000 0.000
Na: 0.332 0.668 0.000
Na: 0.668 0.332 0.000
Tm: 0.169 0.831 0.500
Tm: 0.831 0.169 0.500
Mn: 0.500 0.500 0.500
S: 0.105 0.424 0.277
S: 0.266 0.266 0.707
S: 0.424 0.105 0.277
S: 0.576 0.895 0.723
S: 0.734 0.734 0.293
S: 0.895 0.576 0.723

Results
Space-group type: C2/m (12)
Calculated total energy in eV/f.u.: -64.44
Formation energy without anion corrections in eV/atom: -1.4668



(5)
Ca2ErPuS4 after structural relaxation, computed with GGA-PBE.

a = 6.861 Å, b = 3.960 Å, c = 6.927 Å
α = 90.00°, β = 109.34°, γ = 90.00°
Atoms (fractional coordinates):
Ca: 0.000 0.000 0.000
Ca: 0.500 0.500 0.000
Er: 0.000 0.500 0.500
Pu: 0.500 0.000 0.500
S: 0.242 0.000 0.743
S: 0.247 0.500 0.255
S: 0.753 0.500 0.745
S: 0.758 0.000 0.257

Results
Space-group type: P2/m (10)
Calculated total energy in eV/f.u.: -55.16
Formation energy without anion corrections in eV/atom: -1.9694



(6)
Tb4Dy3Er2 after structural relaxation, computed with GGA-PBE.

a = 9.910 Å, b = 9.910 Å, c = 6.086 Å
α = 94.84°, β = 94.84°, γ = 70.97°
Atoms (fractional coordinates):
Tb: 0.095 0.812 0.987
Tb: 0.145 0.430 0.154
Tb: 0.188 0.905 0.513
Tb: 0.430 0.145 0.654
Tb: 0.570 0.855 0.346
Tb: 0.812 0.095 0.487
Tb: 0.855 0.570 0.846
Tb: 0.905 0.188 0.013
Dy: 0.071 0.264 0.579
Dy: 0.264 0.071 0.079
Dy: 0.403 0.597 0.250
Dy: 0.597 0.403 0.750
Dy: 0.736 0.929 0.921
Dy: 0.929 0.736 0.421
Er: 0.240 0.521 0.682
Er: 0.479 0.760 0.818
Er: 0.521 0.240 0.182
Er: 0.760 0.479 0.318

Results
Space-group type: C2/c (15)
Calculated total energy in eV/f.u.: -40.57



(7)
NpHgTe2 after structural relaxation, computed with GGA-PBE.

a = 10.007 Å, b = 10.007 Å, c = 10.007 Å
α = 24.99°, β = 24.99°, γ = 24.99°
Atoms (fractional coordinates):
Np: 0.000 0.000 0.000
Hg: 0.170 0.170 0.170
Te: 0.393 0.393 0.393
Te: 0.607 0.607 0.607

Results
Space-group type: R3m (160)
Calculated total energy in eV/f.u.: -21.03
Formation energy without anion corrections in eV/atom: -0.3771



(8)
Nd15Tm2In2 after structural relaxation, computed with GGA-PBE.

a = 8.785 Å, b = 8.785 Å, c = 8.785 Å
α = 77.90°, β = 77.90°, γ = 77.90°
Atoms (fractional coordinates):
Nd: 0.000 0.000 0.500
Nd: 0.000 0.290 0.710
Nd: 0.000 0.500 0.000
Nd: 0.000 0.710 0.290
Nd: 0.165 0.610 0.610
Nd: 0.290 0.000 0.710
Nd: 0.290 0.710 0.000
Nd: 0.390 0.390 0.835
Nd: 0.390 0.835 0.390
Nd: 0.500 0.000 0.000
Nd: 0.610 0.165 0.610
Nd: 0.610 0.610 0.165
Nd: 0.710 0.000 0.290
Nd: 0.710 0.290 0.000
Nd: 0.835 0.390 0.390
Tm: 0.303 0.303 0.303
Tm: 0.697 0.697 0.697
In: 0.096 0.096 0.096
In: 0.904 0.904 0.904

Results
Space-group type: R-3m (166)
Calculated total energy in eV/f.u.: -83.12



Copy entry 4 word for word.
Na3Tm2MnS6 after structural relaxation, computed with GGA-PBE.

a = 6.656 Å, b = 6.656 Å, c = 7.006 Å
α = 98.81°, β = 98.81°, γ = 120.61°
Atoms (fractional coordinates):
Na: 0.000 0.000 0.000
Na: 0.332 0.668 0.000
Na: 0.668 0.332 0.000
Tm: 0.169 0.831 0.500
Tm: 0.831 0.169 0.500
Mn: 0.500 0.500 0.500
S: 0.105 0.424 0.277
S: 0.266 0.266 0.707
S: 0.424 0.105 0.277
S: 0.576 0.895 0.723
S: 0.734 0.734 0.293
S: 0.895 0.576 0.723

Results
Space-group type: C2/m (12)
Calculated total energy in eV/f.u.: -64.44
Formation energy without anion corrections in eV/atom: -1.4668



Question: calculated total energy of number 6 (Tb4Dy3Er2)?
Answer: -40.57 eV/f.u.



Question: The lowest calculated total energy belongs to which entry?
Answer: Nd15Tm2In2



Question: Look up the calculated total energy of the first one.
Answer: -12.71 eV/f.u.